1.
Tl2NiHgB after structural relaxation, computed with PBE.

Results
The calculation puts the density of states at the Fermi level at 7.03 states/eV/f.u. Its formation energy from the elements is 1.304 eV/atom. Its crystal system is tetragonal.

abc: 5.862 5.862 4.112
angles: 90.00 90.00 90.00
Space group P4/mmm (No. 123)
Inequivalent atoms, fractional coordinates:
Tl (0.000, 0.500, 0.000) (multiplicity 2)
Ni (0.000, 0.000, 0.500) (multiplicity 1)
Hg (0.500, 0.500, 0.000) (multiplicity 1)
B (0.500, 0.500, 0.500) (multiplicity 1)


2.
MoPt2Se after structural relaxation, computed with PBE.

Results
The calculation puts the density of states at the Fermi level at 3.80 states/eV/f.u. As for the formation energy (no corrections): 0.06 eV per atom. Its crystal system is monoclinic.

abc: 9.779 3.072 4.383
angles: 90.00 92.63 90.00
Space group C2/m (No. 12)
Inequivalent atoms, fractional coordinates:
Mo (0.000, 0.000, 0.000) (multiplicity 2)
Pt (0.226, 0.500, 0.241) (multiplicity 4)
Se (0.000, 0.500, 0.500) (multiplicity 2)


3.
EuCdAu2 after structural relaxation, computed with PBE.

Results
The calculation puts the density of states at the Fermi level at 10.67 states/eV/f.u. Its formation energy from the elements is -0.521 eV/atom. Its crystal system is tetragonal.

abc: 3.626 3.626 6.985
angles: 90.00 90.00 90.00
Space group P4/mmm (No. 123)
Inequivalent atoms, fractional coordinates:
Eu (0.000, 0.000, 0.000) (multiplicity 1)
Cd (0.000, 0.000, 0.500) (multiplicity 1)
Au (0.500, 0.500, 0.277) (multiplicity 2)


4.
CsCd3 after structural relaxation, computed with PBE.

Results
The calculation puts the density of states at the Fermi level at 2.95 states/eV/f.u. Its formation energy from the elements is 0.123 eV/atom. As for the energy above the most stable polymorph in this dataset: 0.194 eV/atom. Its crystal system is cubic.

abc: 5.334 5.334 5.334
angles: 90.00 90.00 90.00
Space group Pm-3m (No. 221)
Inequivalent atoms, fractional coordinates:
Cs (0.000, 0.000, 0.000) (multiplicity 1)
Cd (0.000, 0.500, 0.500) (multiplicity 3)


Number 1: calculated total energy -2.19 eV per atom. Number 2: calculated total energy -6.54 eV per atom. Number 3: calculated total energy -4.96 eV per atom. Number 4: calculated total energy -0.78 eV per atom.